(1)
Computed, not measured: crystalline CaTeOs2 at its relaxed geometry at the GGA-PBEsol level of DFT.

The structure in extended XYZ format:
```
4
Lattice="-0.020 -2.974 -0.437 0.977 -0.686 4.624 -4.922 -0.116 1.022" Properties=species:S:1:pos:R:3 pbc="T T T"
Ca -1.972 -0.401 2.823
Te -2.471 -1.545 0.293
Os 0.000 0.000 0.000
Os 0.478 -1.830 2.094
```

## Properties
Total energy ... -6.823 eV/atom

(2)
Computed, not measured: crystalline CaTeOs4 at its relaxed geometry at the GGA-PBEsol level of DFT.

The structure in extended XYZ format:
```
6
Lattice="5.284 0.000 0.000 2.642 4.576 0.000 2.642 1.525 4.315" Properties=species:S:1:pos:R:3 pbc="T T T"
Ca 0.000 0.000 0.000
Os 3.965 2.289 1.619
Os 5.284 3.051 3.773
Os 6.603 2.289 1.619
Os 5.284 4.574 1.619
Te 7.926 4.576 3.236
```

## Properties
Total energy ... -8.500 eV/atom

(3)
Computed, not measured: crystalline Ca2TeOs at its relaxed geometry at the GGA-PBEsol level of DFT.

The structure in extended XYZ format:
```
4
Lattice="3.769 0.000 0.000 0.000 3.769 0.000 0.000 0.000 6.318" Properties=species:S:1:pos:R:3 pbc="T T T"
Ca 0.000 0.000 4.834
Ca 0.000 0.000 1.484
Te 1.884 1.884 3.159
Os 1.884 1.884 0.000
```

## Properties
Total energy ... -5.120 eV/atom

Number 1: magnetic moment 0.7 μB per formula unit, formation energy without anion corrections 2.8 eV per formula unit. Number 2: magnetic moment 0.0 μB per formula unit, formation energy without anion corrections 3.5 eV per formula unit. Number 3: magnetic moment 0.0 μB per formula unit, formation energy without anion corrections -0.5 eV per formula unit.